DFT (meta-GGA SCAN) results for a PBEsol-optimized structure of CoTeSe.

```
CoTeSe
1.0
3.5864 0.0000 0.0000
-1.7932 3.1059 0.0000
0.0000 0.0000 5.1636
Co Te Se
1 1 1
direct
0.0000 0.0000 0.0000
0.3333 0.6667 0.2742
0.6667 0.3333 0.7813
```

SG: P3m1, No. 156
Density of states at the Fermi level: 1.478 states/eV/cell
Total DFT energy (no corrections): -25.11 eV per atom
Spin magnetization: 0.00 μB per cell
Formation energy without anion corrections: -229.1 meV per atom